The following is a DFT calculation (PBE-GGA) of Pm3ZnN after structural relaxation.

Geometry as CIF:
```
data_Pm3ZnN
_space_group_name_H-M_alt 'P m -3 m'
_space_group_IT_number 221
_space_group_name_Hall '-P 4 2 3'
_cell_length_a 4.9448
_cell_length_b 4.9448
_cell_length_c 4.9448
_cell_angle_alpha 90.00
_cell_angle_beta 90.00
_cell_angle_gamma 90.00
loop_
_atom_site_label
_atom_site_type_symbol
_atom_site_fract_x
_atom_site_fract_y
_atom_site_fract_z
_atom_site_occupancy
Pm1 Pm 0.0000 0.0000 0.5000 1
Zn1 Zn 0.5000 0.5000 0.5000 1
N1 N 0.0000 0.0000 0.0000 1
```

## Properties
N(E_F): 5.2 states/eV/f.u.
offset from the most stable computed form: 57 meV per atom
theoretical density: 7.07 Mg/m³
raw total energy: -5.433 eV/atom

The following is a DFT calculation (PBE-GGA) of Na2CdHg3 after structural relaxation.

Geometry as CIF:
```
data_Na2CdHg3
_space_group_name_H-M_alt 'I m m 2'
_space_group_IT_number 44
_space_group_name_Hall 'I 2 -2'
_cell_length_a 3.3815
_cell_length_b 4.8771
_cell_length_c 20.2167
_cell_angle_alpha 90.00
_cell_angle_beta 90.00
_cell_angle_gamma 90.00
loop_
_atom_site_label
_atom_site_type_symbol
_atom_site_fract_x
_atom_site_fract_y
_atom_site_fract_z
_atom_site_occupancy
Na1 Na 0.0000 0.0000 0.0000 1
Na2 Na 0.0000 0.5000 0.2197 1
Cd1 Cd 0.0000 0.0000 0.4176 1
Hg1 Hg 0.0000 0.0000 0.5651 1
Hg2 Hg 0.0000 0.5000 0.6484 1
Hg3 Hg 0.0000 0.5000 0.7972 1
```

## Properties
N(E_F): 1.6 states/eV/f.u.
ΔE_f: -3.31 kcal/mol of atoms
theoretical density: 7.57 Mg/m³
raw total energy: -0.887 eV/atom

The following is a DFT calculation (PBE-GGA) of KMoCl6 after structural relaxation.

Geometry as CIF:
```
data_KMoCl6
_space_group_name_H-M_alt 'C 1 2/m 1'
_space_group_IT_number 12
_space_group_name_Hall '-C 2y'
_cell_length_a 7.8145
_cell_length_b 10.3190
_cell_length_c 6.2136
_cell_angle_alpha 90.00
_cell_angle_beta 106.31
_cell_angle_gamma 90.00
loop_
_atom_site_label
_atom_site_type_symbol
_atom_site_fract_x
_atom_site_fract_y
_atom_site_fract_z
_atom_site_occupancy
K1 K 0.0000 0.0000 0.0000 1
Mo1 Mo 0.0000 0.5000 0.5000 1
Cl1 Cl 0.1179 0.3391 0.7684 1
Cl2 Cl 0.2340 0.0000 0.6049 1
```

## Properties
N(E_F): 6.6 states/eV/f.u.
offset from the most stable computed form: 0 meV per atom
theoretical density: 2.40 Mg/m³
raw total energy: -3.974 eV/atom